The following is a DFT calculation (PBE) of Pm3Sm2Dy4 after structural relaxation.

Cell: 5.0834 8.0336 8.0480 Å, 107.48 108.41 90.00°
Sites, in units of the cell vectors:
Sm (0.6668, 0.0006, 0.3335)
Dy (0.7781, 0.6655, 0.5562)
Dy (0.2219, 0.3345, 0.4438)
Pm (0.0000, 0.0000, 0.0000)
Pm (0.8888, 0.3349, 0.7777)
Dy (0.4434, 0.6654, 0.8868)
Sm (0.3332, 0.9994, 0.6665)
Pm (0.1112, 0.6651, 0.2223)
Dy (0.5566, 0.3346, 0.1132)

Summary:
size of the total moment = 0.00 μB/atom
formation energy = 16.6 meV per atom
symmetry = C2/m (12)

The following is a DFT calculation (PBE) of TlTc2Ge after structural relaxation.

Cell: 4.5288 4.5288 4.5288 Å, 60.00 60.00 60.00°
Sites, in units of the cell vectors:
Tl (0.5000, 0.5000, 0.5000)
Ge (0.0000, 0.0000, 0.0000)
Tc (0.7500, 0.7500, 0.7500)
Tc (0.2500, 0.2500, 0.2500)

Summary:
energy above the most stable polymorph in this dataset = 0 meV per atom
size of the total moment = 0.00 μB/atom
formation energy = 537.6 meV per atom
symmetry = Fm-3m (225)